A) The following is a PBE calculation of a relaxed NpAlCr crystal, from the Alexandria database.

Computed properties:
Total magnetization ... 1.8 μB/f.u.

a = 6.889 Å, b = 6.434 Å, c = 7.602 Å
α = 58.08°, β = 52.44°, γ = 69.48°
Positions (direct):
Np  0.296  0.704  0.419
Np  0.669  0.831  0.546
Np  0.704  0.296  0.581
Np  0.831  0.669  0.954
Al  0.172  0.765  0.070
Al  0.180  0.257  0.078
Al  0.257  0.180  0.485
Al  0.765  0.172  0.993
Cr  0.297  0.701  0.705
Cr  0.545  0.954  0.953
Cr  0.701  0.297  0.296
Cr  0.954  0.545  0.549

B) The following is a PBE calculation of a relaxed NpAlCr crystal, from the Alexandria database.

Computed properties:
Total magnetization ... 1.0 μB/f.u.

a = 2.965 Å, b = 2.965 Å, c = 11.590 Å
α = 90.00°, β = 90.00°, γ = 90.00°
Positions (direct):
Np  0.000  0.000  0.000
Np  0.500  0.500  0.500
Al  0.000  0.000  0.708
Al  0.500  0.500  0.208
Cr  0.000  0.000  0.345
Cr  0.500  0.500  0.845

It comes down to B), which is 237 meV per atom more stable than the next structure.